# PmAl3Cr4O12 (PBE+U, optimized geometry)
# Total energy in eV per formula unit: -153.5
# ρ in kg/m³: 5118
# Spin magnetization in μB/f.u.: 12.00
data_PmAl3Cr4O12
_space_group_name_H-M_alt 'I m -3'
_space_group_IT_number 204
_space_group_name_Hall '-I 2 2 3'
_cell_length_a 7.4055
_cell_length_b 7.4055
_cell_length_c 7.4055
_cell_angle_alpha 90.00
_cell_angle_beta 90.00
_cell_angle_gamma 90.00
loop_
_atom_site_label
_atom_site_type_symbol
_atom_site_fract_x
_atom_site_fract_y
_atom_site_fract_z
Pm1 Pm 0.0000 0.0000 0.0000
Al1 Al 0.0000 0.0000 0.5000
Cr1 Cr 0.2500 0.2500 0.2500
O1 O 0.0000 0.1701 0.3162